VASP calculation (PBE) on a relaxed HoSi2Ir crystal.

## Properties
calculated total energy	-6.9499	eV/atom
crystal system	orthorhombic

```
data_HoSi2Ir
_symmetry_space_group_name_H-M 'P m m n'
_symmetry_Int_Tables_number 59
_cell_length_a 4.053
_cell_length_b 6.377
_cell_length_c 5.465
_cell_angle_alpha 90.00
_cell_angle_beta 90.00
_cell_angle_gamma 90.00
loop_
_symmetry_equiv_pos_as_xyz
'x,y,z'
'-x,-y,-z'
'-x+1/2,-y+1/2,z'
'x+1/2,y+1/2,-z'
'x+1/2,-y,-z'
'-x+1/2,y,z'
'-x,y+1/2,-z'
'x,-y+1/2,z'
loop_
_atom_site_label
_atom_site_type_symbol
_atom_site_fract_x
_atom_site_fract_y
_atom_site_fract_z
_atom_site_occupancy
Ho1 Ho 0.250 0.250 0.129 1
Si1 Si 0.250 0.034 0.660 1
Ir1 Ir 0.250 0.750 0.366 1
```